Entry 1:
Entry from Alexandria via LeMat-Bulk: crystalline Zr2CrBr at its relaxed geometry (PBE).

a = 5.847 Å, b = 5.847 Å, c = 7.382 Å
α = 66.67°, β = 66.67°, γ = 90.00°
Fractional positions:
Cr 0.500 0.500 0.000
Cr 0.250 0.750 0.500
Br 0.000 0.000 0.000
Br 0.750 0.250 0.500
Zr 0.551 0.125 0.250
Zr 0.199 0.625 0.250
Zr 0.375 0.449 0.750
Zr 0.875 0.801 0.750

Values from the calculation:
* E above lowest polymorph: 950 meV per atom
* formation energy from raw total energies: 733 meV per atom

***

Entry 2:
Entry from Alexandria via LeMat-Bulk: crystalline Y6TeAs2Se3 at its relaxed geometry (PBE).

a = 4.141 Å, b = 8.321 Å, c = 9.274 Å
α = 102.47°, β = 102.90°, γ = 90.00°
Fractional positions:
Y 0.325 0.898 0.649
Y 0.670 0.577 0.341
Y 0.675 0.102 0.351
Y 0.007 0.273 0.014
Y 0.993 0.727 0.986
Y 0.330 0.423 0.659
Te 0.500 0.000 0.000
As 0.832 0.665 0.665
As 0.168 0.335 0.335
Se 0.500 0.500 0.000
Se 0.838 0.165 0.676
Se 0.162 0.835 0.324

Values from the calculation:
* formation energy from raw total energies: -1662 meV per atom

***

Entry 3:
Entry from Alexandria via LeMat-Bulk: crystalline SmEr4Rh4 at its relaxed geometry (PBE).

a = 5.575 Å, b = 8.819 Å, c = 8.819 Å
α = 90.00°, β = 90.00°, γ = 90.00°
Fractional positions:
Sm 0.000 0.000 0.000
Sm 0.500 0.500 0.500
Er 0.412 0.324 0.909
Er 0.912 0.591 0.824
Er 0.412 0.676 0.091
Er 0.088 0.176 0.591
Er 0.588 0.909 0.676
Er 0.088 0.824 0.409
Er 0.912 0.409 0.176
Er 0.588 0.091 0.324
Rh 0.590 0.784 0.372
Rh 0.590 0.216 0.628
Rh 0.090 0.872 0.716
Rh 0.910 0.284 0.872
Rh 0.910 0.716 0.128
Rh 0.410 0.372 0.216
Rh 0.410 0.628 0.784
Rh 0.090 0.128 0.284

Values from the calculation:
* ΔH_f (0 K): -0.67 eV/atom

***

Entry 4:
Entry from Alexandria via LeMat-Bulk: crystalline BeGa2Ge2 at its relaxed geometry (PBE).

a = 6.142 Å, b = 6.142 Å, c = 4.788 Å
α = 90.00°, β = 90.00°, γ = 90.00°
Fractional positions:
Be 0.000 0.000 0.000
Be 0.500 0.500 0.000
Ge 0.351 0.851 0.000
Ge 0.851 0.649 0.000
Ge 0.649 0.149 0.000
Ge 0.149 0.351 0.000
Ga 0.175 0.675 0.500
Ga 0.675 0.825 0.500
Ga 0.825 0.325 0.500
Ga 0.325 0.175 0.500

Values from the calculation:
* ΔH_f (0 K): 0.28 eV/atom
* E above lowest polymorph: 0 meV per atom

***

Entry 5:
Entry from Alexandria via LeMat-Bulk: crystalline AlInFe at its relaxed geometry (PBE).

a = 4.048 Å, b = 2.888 Å, c = 8.876 Å
α = 90.00°, β = 90.00°, γ = 90.00°
Each line ends with the local moment (μB).
Fractional positions:
Al 0.250 0.500 0.386  -0.03
Al 0.750 0.500 0.614  -0.03
Fe 0.250 0.000 0.615  1.09
Fe 0.750 0.000 0.385  1.09
In 0.250 0.500 0.873  -0.02
In 0.750 0.500 0.127  -0.02

Values from the calculation:
* ΔH_f (0 K): -0.08 eV/atom

***

Entry 6:
Entry from Alexandria via LeMat-Bulk: crystalline Ba2NaLaAu at its relaxed geometry (PBE).

a = 6.451 Å, b = 5.027 Å, c = 6.451 Å
α = 90.00°, β = 90.00°, γ = 90.00°
Fractional positions:
Na 0.000 0.000 0.000
Au 0.000 0.500 0.000
Ba 0.000 0.000 0.500
Ba 0.500 0.000 0.000
La 0.500 0.500 0.500

Values from the calculation:
* ΔH_f (0 K): 0.35 eV/atom
* E above lowest polymorph: 517 meV per atom

***

Entry 7:
Entry from Alexandria via LeMat-Bulk: crystalline Sr2LiGa4Ir3 at its relaxed geometry (PBE).

a = 4.422 Å, b = 4.422 Å, c = 10.142 Å
α = 90.00°, β = 90.00°, γ = 90.00°
Fractional positions:
Sr 0.500 0.000 0.250
Sr 0.000 0.500 0.750
Li 0.500 0.500 0.500
Ga 0.500 0.500 0.000
Ga 0.000 0.000 0.000
Ga 0.500 0.000 0.623
Ga 0.000 0.500 0.377
Ir 0.000 0.000 0.500
Ir 0.500 0.000 0.871
Ir 0.000 0.500 0.129

Values from the calculation:
* ΔH_f (0 K): -0.52 eV/atom

***

Entry 8:
Entry from Alexandria via LeMat-Bulk: crystalline K3Ho2PaS6 at its relaxed geometry (PBE).

a = 6.982 Å, b = 6.982 Å, c = 7.754 Å
α = 98.63°, β = 98.63°, γ = 120.00°
Each line ends with the local moment (μB).
Fractional positions:
K 0.168 0.832 0.500  0.00
K 0.832 0.168 0.500  0.00
K 0.500 0.500 0.500  0.00
Ho 0.333 0.667 0.000  0.12
Ho 0.667 0.333 0.000  0.12
Pa 0.000 0.000 0.000  1.17
S 0.932 0.599 0.797  -0.02
S 0.735 0.735 0.204  -0.02
S 0.068 0.401 0.203  -0.02
S 0.599 0.932 0.797  -0.02
S 0.265 0.265 0.796  -0.02
S 0.401 0.068 0.203  -0.02

Values from the calculation:
* formation energy from raw total energies: -1726 meV per atom

***

Entry 9:
Entry from Alexandria via LeMat-Bulk: crystalline YNiOs at its relaxed geometry (PBE).

a = 4.089 Å, b = 4.089 Å, c = 3.934 Å
α = 90.00°, β = 90.00°, γ = 120.00°
Each line ends with the local moment (μB).
Fractional positions:
Y 0.000 0.000 0.000  -0.02
Ni 0.333 0.667 0.500  0.38
Os 0.667 0.333 0.500  0.58

Values from the calculation:
* ΔH_f (0 K): -0.05 eV/atom
* E above lowest polymorph: 310 meV per atom

***

Entry 10:
Entry from Alexandria via LeMat-Bulk: crystalline MnIr3Rh at its relaxed geometry (PBE).

a = 4.667 Å, b = 4.667 Å, c = 4.667 Å
α = 90.00°, β = 90.00°, γ = 90.00°
Each line ends with the local moment (μB).
Fractional positions:
Ir 0.000 0.500 0.000  -0.11
Ir 0.000 0.000 0.500  -0.07
Ir 0.500 0.000 0.000  -0.06
Rh 0.000 0.000 0.000  -0.04
Mn 0.500 0.500 0.500  0.24

Values from the calculation:
* ΔH_f (0 K): 2.39 eV/atom
* E above lowest polymorph: 2477 meV per atom

***

Entry 11:
Entry from Alexandria via LeMat-Bulk: crystalline SrMnFe2 at its relaxed geometry (PBE).

a = 3.998 Å, b = 2.928 Å, c = 6.652 Å
α = 75.69°, β = 90.00°, γ = 90.00°
Each line ends with the local moment (μB).
Fractional positions:
Fe 0.000 0.048 0.082  2.50
Fe 0.500 0.189 0.246  2.50
Mn 0.000 0.494 0.410  3.41
Sr 0.500 0.769 0.762  -0.06

Values from the calculation:
* ΔH_f (0 K): 0.62 eV/atom

***

Entry 12:
Entry from Alexandria via LeMat-Bulk: crystalline TmB4Rh8 at its relaxed geometry (PBE).

a = 5.537 Å, b = 5.537 Å, c = 8.165 Å
α = 70.18°, β = 70.18°, γ = 60.00°
Fractional positions:
Tm 0.500 0.500 0.500
B 0.000 0.500 0.000
B 0.500 0.500 0.000
B 0.500 0.000 0.000
B 0.000 0.000 0.000
Rh 0.732 0.229 0.810
Rh 0.771 0.268 0.190
Rh 0.268 0.771 0.190
Rh 0.771 0.771 0.190
Rh 0.732 0.732 0.803
Rh 0.268 0.268 0.197
Rh 0.229 0.229 0.810
Rh 0.229 0.732 0.810

Values from the calculation:
* ΔH_f (0 K): -0.12 eV/atom